1.
A relaxed structure of Li2LaCu9. Source: the Alexandria database, functional PBE.

The value obtained for the volume is 538.7 Å³ per cell. The value obtained for the formation enthalpy at 0 K is -0.1104 eV per atom. Its total moment is 0.00 μB per cell.

The structure belongs to space group R-3m (No. 166, hexagonal axes); the cell edges are 5.0556, 5.0556 and 24.3358 Å and the angles 90.00°, 90.00° and 120.00°. The asymmetric unit holds Li at (0.0000, 0.0000, 0.1495), La at (0.0000, 0.0000, 0.0000), Cu at (0.0000, 0.0000, 0.3326), Cu at (0.0000, 0.0000, 0.5000) and Cu at (0.0016, 0.5008, 0.9144).

***

2.
A relaxed structure of CsHfS2Cl. Source: the Alexandria database, functional PBE.

The value obtained for the volume is 132.5 Å³ per cell. The formation energy without anion corrections comes out at -35.21 kcal/mol of atoms. Its total moment is 0.00 μB per cell.

The structure belongs to space group P4/mmm (No. 123); the cell edges are 5.020, 5.020 and 5.257 Å and the angles 90.00°, 90.00° and 90.00°. The asymmetric unit holds Cs at (0.000, 0.000, 0.000), Hf at (0.500, 0.500, 0.500), S at (0.000, 0.500, 0.500) and Cl at (0.500, 0.500, 0.000).

***

3.
A relaxed structure of TbCeCo2. Source: the Alexandria database, functional PBE.

The value obtained for the volume is 155.3 Å³ per cell. The value obtained for the formation enthalpy at 0 K is -0.1937 eV per atom. Its total moment is 0.00 μB per cell.

The structure belongs to space group Amm2 (No. 38); the cell edges are 3.872, 3.699 and 10.844 Å and the angles 90.00°, 90.00° and 90.00°. The asymmetric unit holds Tb at (0.000, 0.000, 0.000), Ce at (0.500, 0.000, 0.273), Co at (0.000, 0.000, 0.726) and Co at (0.500, 0.000, 0.573).

***

Respective N(E_F) values: 5.3, 0.2, 3.6 states/eV/f.u..